Record 1
The following is a DFT calculation (meta-GGA SCAN) of a PBEsol-optimized structure of RbZnSiOs2.

Calculated total energy in eV/atom: -35.681
Space-group type: P4/mmm
V in Å³ per cell: 102.1

Structure (extended XYZ):
```
5
Lattice="4.7280 0.0000 0.0000 0.0000 4.7280 0.0000 0.0000 0.0000 4.5662" Properties=species:S:1:pos:R:3 pbc="T T T"
Rb 0.0000 0.0000 0.0000
Zn 2.3640 2.3640 2.2831
Si 2.3640 2.3640 0.0000
Os 0.0000 2.3640 2.2831
Os 2.3640 0.0000 2.2831
```


Record 2
The following is a DFT calculation (meta-GGA SCAN) of a PBEsol-optimized structure of ScTa2Hg.

DFT formation energy in eV/f.u.: 0.6
Space-group type: Cm
V in Å³ per cell: 76.1

Structure (extended XYZ):
```
4
Lattice="4.8841 -1.4700 0.0000 4.8841 1.4700 0.0000 -0.7219 0.0000 5.2965" Properties=species:S:1:pos:R:3 pbc="T T T"
Sc 0.0000 0.0000 0.0000
Ta 1.7455 0.0000 3.7031
Ta 4.3817 0.0000 2.7058
Hg 7.1546 0.0000 1.1312
```


- Number 1 is which compound?
  RbZnSiOs2


- Among the records above, which one has the lowest V?
  ScTa2Hg